a) ## KBaTe3 (GGA-PBE)

Data for a relaxed KBaTe3 crystal.

POSCAR file:
```
KBaTe3
1.0
6.022 0.000 0.000
0.000 6.022 0.000
0.000 0.000 6.022
Te K Ba
3 1 1
direct
0.000 0.000 0.500 Te
0.500 0.000 0.000 Te
0.000 0.500 0.000 Te
0.000 0.000 0.000 K
0.500 0.500 0.500 Ba
```

Computed properties:
SG	No. 221

=====

b) ## KBaTe3 (GGA-PBE)

Data for a relaxed KBaTe3 crystal.

POSCAR file:
```
KBaTe3
1.0
-2.406 5.984 1.593
-2.548 -2.514 5.596
5.644 1.416 3.206
Te K Ba
3 1 1
direct
0.500 0.000 0.000 Te
0.000 0.500 0.000 Te
0.000 0.000 0.500 Te
0.500 0.500 0.500 K
0.000 0.000 0.000 Ba
```

Computed properties:
SG	No. 221

=====

Which of them is the most stable? Correct choice: b).

=====

a) ## KBaTe4 (GGA-PBE)

Data for a relaxed KBaTe4 crystal.

POSCAR file:
```
KBaTe4
1.0
0.000 4.757 4.757
4.757 0.000 4.757
4.757 4.757 0.000
K Te Ba
1 4 1
direct
0.000 0.000 0.000 K
0.875 0.375 0.375 Te
0.375 0.875 0.375 Te
0.375 0.375 0.875 Te
0.375 0.375 0.375 Te
0.750 0.750 0.750 Ba
```

Computed properties:
SG	No. 216

=====

b) ## KBaTe4 (GGA-PBE)

Data for a relaxed KBaTe4 crystal.

POSCAR file:
```
KBaTe4
1.0
5.231 0.000 -1.774
0.602 9.587 1.775
-0.850 2.825 6.092
Te Ba K
4 1 1
direct
0.305 0.953 0.610 Te
0.695 0.047 0.390 Te
0.199 0.533 0.398 Te
0.801 0.467 0.602 Te
0.000 0.000 0.000 Ba
0.500 0.500 0.000 K
```

Computed properties:
SG	No. 12

=====

Which of them is the most stable? Correct choice: b).

=====

a) ## KBaTe (GGA-PBE)

Data for a relaxed KBaTe crystal.

POSCAR file:
```
KBaTe
1.0
5.004 0.000 0.000
-2.502 4.334 0.000
0.000 0.000 8.343
K Te Ba
1 1 1
direct
0.667 0.333 0.427 K
0.333 0.667 0.681 Te
0.000 0.000 0.892 Ba
```

Computed properties:
SG	No. 156

=====

b) ## KBaTe (GGA-PBE)

Data for a relaxed KBaTe crystal.

POSCAR file:
```
KBaTe
1.0
5.838 0.000 0.000
2.919 5.056 0.000
2.919 1.685 4.766
K Ba Te
1 1 1
direct
0.500 0.500 0.500 K
0.000 0.000 0.000 Ba
0.750 0.750 0.750 Te
```

Computed properties:
SG	No. 216

=====

Which of them is the most stable? Correct choice: a).

=====

a) ## KBaTi2 (GGA-PBE)

Data for a relaxed KBaTi2 crystal.

POSCAR file:
```
KBaTi2
1.0
0.000 4.167 4.167
4.167 0.000 4.167
4.167 4.167 0.000
Ba K Ti
1 1 2
direct
0.500 0.500 0.500 Ba
0.000 0.000 0.000 K
0.750 0.750 0.750 Ti
0.250 0.250 0.250 Ti
```

Computed properties:
SG	No. 225

=====

b) ## KBaTi2 (GGA-PBE)

Data for a relaxed KBaTi2 crystal.

POSCAR file:
```
KBaTi2
1.0
4.471 0.000 0.000
0.000 4.471 0.000
2.236 2.236 12.379
Ti Ba K
4 2 2
direct
0.375 0.372 0.750 Ti
0.122 0.625 0.250 Ti
0.875 0.878 0.750 Ti
0.628 0.125 0.250 Ti
0.000 0.000 0.000 Ba
0.750 0.250 0.500 Ba
0.500 0.500 0.000 K
0.250 0.750 0.500 K
```

Computed properties:
SG	No. 122

=====

Which of them is the most stable? Correct choice: b).